[1]
Compound: Er5SnAu2
Source: the Alexandria database
Functional: GGA-PBE
Structure: optimized geometry

As for the size of the total moment: 0.00 μB per formula unit. Its formation energy from the elements is -685 meV/atom. Its space-group type is I4/mcm, No. 140.

Cell lengths 8.645, 8.645, 8.645 Å; angles 125.15, 125.15, 81.29 degrees
Element x y z (fractional)
Er1 0.000 0.000 0.000
Er2 0.013 0.513 0.814
Er3 0.199 0.013 0.500
Er4 0.301 0.801 0.814
Er5 0.487 0.301 0.500
Er6 0.500 0.500 0.000
Er7 0.513 0.699 0.500
Er8 0.699 0.199 0.186
Er9 0.801 0.987 0.500
Er10 0.987 0.487 0.186
Sn1 0.250 0.250 0.000
Sn2 0.750 0.750 0.000
Au1 0.136 0.364 0.500
Au2 0.364 0.864 0.228
Au3 0.636 0.136 0.772
Au4 0.864 0.636 0.500


[2]
Compound: AlFeTe2
Source: the Alexandria database
Functional: GGA-PBE
Structure: optimized geometry

As for the size of the total moment: 2.91 μB per formula unit. The energy relative to the elements, uncorrected is 41 kJ/mol of atoms. Its space-group type is P4/mmm, No. 123.

Cell lengths 4.960, 4.960, 3.457 Å; angles 90.00, 90.00, 90.00 degrees
Element x y z (fractional)
Al1 0.000 0.000 0.000
Fe1 0.500 0.500 0.000
Te1 0.000 0.500 0.500
Te2 0.500 0.000 0.500